Compound: TlZnSF
Source: OQMD via LeMat-Bulk
Functional: GGA-PBE
Structure: optimized geometry

Summary:
As for the excess energy over the best structure of this formula in the dataset: 59 meV per atom.

abc: 4.1392 4.1392 9.3466
angles: 90.00 90.00 90.09
Last column: nearest neighbours and their distance in Å.
Sites, in units of the cell vectors:
1 F 0.2500 0.2500 0.0000  4 Tl 2.51
2 F 0.7500 0.7500 0.0000  4 Tl 2.51
3 S 0.2500 0.7500 0.3668  4 Zn 2.42
4 S 0.7500 0.2500 0.6332  4 Zn 2.42
5 Tl 0.7500 0.2500 0.1525  4 F 2.51
6 Tl 0.2500 0.7500 0.8475  4 F 2.51
7 Zn 0.2500 0.2500 0.5000  4 S 2.42
8 Zn 0.7500 0.7500 0.5000  4 S 2.42

***

Compound: TlZnSF
Source: OQMD via LeMat-Bulk
Functional: GGA-PBE
Structure: optimized geometry

Summary:
As for the excess energy over the best structure of this formula in the dataset: 26 meV per atom.

abc: 10.2445 19.2699 3.8847
angles: 90.00 90.00 90.00
Last column: nearest neighbours and their distance in Å.
Sites, in units of the cell vectors:
1 F 0.3307 0.0490 0.0000  2 Zn 2.03-2.16
2 F 0.3016 0.1892 0.0000  2 Zn 1.99-2.16
3 F 0.8016 0.3108 0.0000  2 Zn 1.99-2.16
4 F 0.8307 0.4510 0.0000  2 Zn 2.03-2.16
5 F 0.1693 0.5490 0.0000  2 Zn 2.03-2.16
6 F 0.1984 0.6892 0.0000  2 Zn 1.99-2.16
7 F 0.6984 0.8108 0.0000  2 Zn 1.99-2.16
8 F 0.6693 0.9510 0.0000  2 Zn 2.03-2.16
9 S 0.0574 0.1024 0.5000  2 Zn 2.24
10 S 0.5673 0.1523 0.5000  2 Zn 2.25
11 S 0.0673 0.3477 0.5000  2 Zn 2.25
12 S 0.5574 0.3976 0.5000  2 Zn 2.24
13 S 0.4426 0.6024 0.5000  2 Zn 2.24
14 S 0.9327 0.6523 0.5000  2 Zn 2.25
15 S 0.4327 0.8477 0.5000  2 Zn 2.25
16 S 0.9426 0.8976 0.5000  2 Zn 2.24
17 Tl 0.7773 0.0344 0.5000  2 F 2.75
18 Tl 0.8596 0.2245 0.5000  2 F 2.63
19 Tl 0.3596 0.2755 0.5000  2 F 2.63
20 Tl 0.2773 0.4656 0.5000  2 F 2.75
21 Tl 0.7227 0.5344 0.5000  2 F 2.75
22 Tl 0.6404 0.7245 0.5000  2 F 2.63
23 Tl 0.1404 0.7755 0.5000  2 F 2.63
24 Tl 0.2227 0.9656 0.5000  2 F 2.75
25 Zn 0.1630 0.1168 0.0000  2 F 1.99-2.16
26 Zn 0.4716 0.1228 0.0000  2 F 2.03-2.16, 2 S 2.25
27 Zn 0.9716 0.3772 0.0000  2 F 2.03-2.16, 2 S 2.25
28 Zn 0.6630 0.3832 0.0000  2 F 1.99-2.16
29 Zn 0.3370 0.6168 0.0000  2 F 1.99-2.16
30 Zn 0.0284 0.6228 0.0000  2 F 2.03-2.16, 2 S 2.25
31 Zn 0.5284 0.8772 0.0000  2 F 2.03-2.16, 2 S 2.25
32 Zn 0.8370 0.8832 0.0000  2 F 1.99-2.16

***

Compound: TlZnSF
Source: OQMD via LeMat-Bulk
Functional: GGA-PBE
Structure: optimized geometry

Summary:
As for the excess energy over the best structure of this formula in the dataset: 12 meV per atom.

abc: 6.4821 6.7156 7.7751
angles: 90.00 90.00 90.00
Last column: nearest neighbours and their distance in Å.
Sites, in units of the cell vectors:
1 F 0.9771 0.4754 0.2193  2 Zn 2.10
2 F 0.4771 0.5246 0.2807  2 Zn 2.10
3 F 0.0229 0.0246 0.7193  2 Zn 2.10
4 F 0.5229 0.9754 0.7807  2 Zn 2.10
5 S 0.1693 0.9114 0.1331  2 Zn 2.24-2.25
6 S 0.6693 0.0886 0.3669  2 Zn 2.24-2.25
7 S 0.8307 0.5886 0.6331  2 Zn 2.24-2.25
8 S 0.3307 0.4114 0.8669  2 Zn 2.24-2.25
9 Tl 0.7247 0.8079 0.0780  3 F 2.88-2.98, 2 S 2.95-3.00
10 Tl 0.2247 0.1921 0.4220  3 F 2.88-2.98, 2 S 2.95-3.00
11 Tl 0.2752 0.6921 0.5780  3 F 2.88-2.98, 2 S 2.95-3.00
12 Tl 0.7753 0.3079 0.9220  3 F 2.88-2.98, 2 S 2.95-3.00
13 Zn 0.2446 0.5867 0.1005  2 F 2.10, 2 S 2.24-2.25
14 Zn 0.7446 0.4133 0.3995  2 F 2.10, 2 S 2.24-2.25
15 Zn 0.7554 0.9133 0.6005  2 F 2.10, 2 S 2.24-2.25
16 Zn 0.2554 0.0867 0.8995  2 F 2.10, 2 S 2.24-2.25

***

Compound: TlZnSF
Source: OQMD via LeMat-Bulk
Functional: GGA-PBE
Structure: optimized geometry

Summary:
As for the excess energy over the best structure of this formula in the dataset: 141 meV per atom.

abc: 9.8001 18.4406 3.7460
angles: 90.00 90.00 90.00
Last column: nearest neighbours and their distance in Å.
Sites, in units of the cell vectors:
1 F 0.5147 0.0814 0.5000  2 Zn 2.10
2 F 0.9800 0.1011 0.5000  2 Zn 2.08
3 F 0.4800 0.3989 0.5000  2 Zn 2.08
4 F 0.0147 0.4186 0.5000  2 Zn 2.10
5 F 0.9853 0.5814 0.5000  2 Zn 2.10
6 F 0.5200 0.6011 0.5000  2 Zn 2.08
7 F 0.0200 0.8989 0.5000  2 Zn 2.08
8 F 0.4853 0.9186 0.5000  2 Zn 2.10
9 S 0.2332 0.0130 0.0000  2 Zn 2.28-2.29
10 S 0.7311 0.1872 0.0000  2 Zn 2.32-2.33
11 S 0.2311 0.3128 0.0000  2 Zn 2.32-2.33
12 S 0.7332 0.4870 0.0000  2 Zn 2.28-2.29
13 S 0.2668 0.5130 0.0000  2 Zn 2.28-2.29
14 S 0.7689 0.6872 0.0000  2 Zn 2.32-2.33
15 S 0.2689 0.8128 0.0000  2 Zn 2.32-2.33
16 S 0.7668 0.9870 0.0000  2 Zn 2.28-2.29
17 Tl 0.2518 0.1225 0.5000  2 F 2.69, 2 S 2.76
18 Tl 0.5262 0.2391 0.5000  2 S 2.91, 2 F 2.91-2.98
19 Tl 0.0262 0.2609 0.5000  2 S 2.91, 2 F 2.91-2.98
20 Tl 0.7518 0.3775 0.5000  2 F 2.69, 2 S 2.76
21 Tl 0.2482 0.6225 0.5000  2 F 2.69, 2 S 2.76
22 Tl 0.9738 0.7391 0.5000  2 S 2.91, 2 F 2.91-2.98
23 Tl 0.4738 0.7609 0.5000  2 S 2.91, 2 F 2.91-2.98
24 Tl 0.7482 0.8775 0.5000  2 F 2.69, 2 S 2.76
25 Zn 0.6110 0.0786 0.0000  2 F 2.10, 2 S 2.28-2.32
26 Zn 0.8893 0.0928 0.0000  2 F 2.08, 1 S 2.29
27 Zn 0.3893 0.4072 0.0000  2 F 2.08, 1 S 2.29
28 Zn 0.1110 0.4214 0.0000  2 F 2.10, 2 S 2.28-2.32
29 Zn 0.8890 0.5786 0.0000  2 F 2.10, 2 S 2.28-2.32
30 Zn 0.6107 0.5928 0.0000  2 F 2.08, 1 S 2.29
31 Zn 0.1107 0.9072 0.0000  2 F 2.08, 1 S 2.29
32 Zn 0.3890 0.9214 0.0000  2 F 2.10, 2 S 2.28-2.32

***

Compound: TlZnSF
Source: OQMD via LeMat-Bulk
Functional: GGA-PBE
Structure: optimized geometry

Summary:
As for the excess energy over the best structure of this formula in the dataset: 31 meV per atom.

abc: 4.0519 4.0519 10.5979
angles: 90.00 90.00 90.00
Last column: nearest neighbours and their distance in Å.
Sites, in units of the cell vectors:
1 F 0.7500 0.2500 0.0000  4 Tl 2.51
2 F 0.2500 0.7500 0.0000  4 Tl 2.51
3 S 0.2500 0.2500 0.3765  4 Zn 2.41
4 S 0.7500 0.7500 0.6235  4 Zn 2.41
5 Tl 0.7500 0.7500 0.1404  4 F 2.51
6 Tl 0.2500 0.2500 0.8596  4 F 2.51
7 Zn 0.7500 0.2500 0.5000  4 S 2.41
8 Zn 0.2500 0.7500 0.5000  4 S 2.41

***

Compound: TlZnSF
Source: OQMD via LeMat-Bulk
Functional: GGA-PBE
Structure: optimized geometry

Summary:
As for the excess energy over the best structure of this formula in the dataset: 0 meV per atom.

abc: 6.1993 6.8747 8.1070
angles: 90.00 90.00 90.00
Last column: nearest neighbours and their distance in Å.
Sites, in units of the cell vectors:
1 F 0.6611 0.8411 0.0259  2 Zn 2.05
2 F 0.3389 0.3411 0.4741  2 Zn 2.05
3 F 0.8389 0.1589 0.5259  2 Zn 2.05
4 F 0.1611 0.6589 0.9741  2 Zn 2.05
5 S 0.1202 0.0798 0.1524  2 Zn 2.26-2.28
6 S 0.8798 0.5798 0.3476  2 Zn 2.26-2.28
7 S 0.3798 0.9202 0.6524  2 Zn 2.26-2.28
8 S 0.6202 0.4202 0.8476  2 Zn 2.26-2.28
9 Tl 0.6000 0.2133 0.1659  2 F 2.82-3.10, 2 S 2.95-3.11
10 Tl 0.4000 0.7132 0.3341  2 F 2.82-3.10, 2 S 2.95-3.11
11 Tl 0.9000 0.7867 0.6659  2 F 2.82-3.10, 2 S 2.95-3.11
12 Tl 0.1000 0.2868 0.8341  2 F 2.82-3.10, 2 S 2.95-3.11
13 Zn 0.9520 0.7853 0.1371  2 F 2.05, 2 S 2.26-2.28
14 Zn 0.0480 0.2853 0.3629  2 F 2.05, 2 S 2.26-2.28
15 Zn 0.5480 0.2147 0.6371  2 F 2.05, 2 S 2.26-2.28
16 Zn 0.4520 0.7147 0.8629  2 F 2.05, 2 S 2.26-2.28

***

Compound: TlZnSF
Source: OQMD via LeMat-Bulk
Functional: GGA-PBE
Structure: optimized geometry

Summary:
As for the excess energy over the best structure of this formula in the dataset: 212 meV per atom.

abc: 8.3274 8.3274 5.1638
angles: 90.00 90.00 153.53
Last column: nearest neighbours and their distance in Å.
Sites, in units of the cell vectors:
1 F 0.0367 0.9633 0.2500  4 Zn 2.38, 1 Tl 2.40
2 F 0.9633 0.0367 0.7500  4 Zn 2.38, 1 Tl 2.40
3 S 0.3838 0.6162 0.2500  2 Zn 2.28
4 S 0.6162 0.3838 0.7500  2 Zn 2.28
5 Tl 0.1844 0.8156 0.2500  1 F 2.40
6 Tl 0.8156 0.1844 0.7500  1 F 2.40
7 Zn 0.5000 0.5000 0.0000  2 S 2.28, 4 F 2.38
8 Zn 0.5000 0.5000 0.5000  2 S 2.28, 4 F 2.38

***

Compound: TlZnSF
Source: OQMD via LeMat-Bulk
Functional: GGA-PBE
Structure: optimized geometry

Summary:
As for the excess energy over the best structure of this formula in the dataset: 41 meV per atom.

abc: 11.7686 11.7686 11.7686
angles: 19.84 19.84 19.84
Last column: nearest neighbours and their distance in Å.
Sites, in units of the cell vectors:
1 F 0.3099 0.3099 0.3099  4 Tl 2.49-2.50
2 F 0.6901 0.6901 0.6901  4 Tl 2.49-2.50
3 S 0.1254 0.1254 0.1254  4 Zn 2.37-2.49
4 S 0.8746 0.8746 0.8746  4 Zn 2.37-2.49
5 Tl 0.3818 0.3818 0.3818  4 F 2.49-2.50
6 Tl 0.6182 0.6182 0.6182  4 F 2.49-2.50
7 Zn 0.1973 0.1973 0.1973  4 S 2.37-2.49
8 Zn 0.8027 0.8027 0.8027  4 S 2.37-2.49

***

Compound: TlZnSF
Source: OQMD via LeMat-Bulk
Functional: GGA-PBE
Structure: optimized geometry

Summary:
As for the excess energy over the best structure of this formula in the dataset: 406 meV per atom.

abc: 4.3365 4.3365 9.8777
angles: 90.00 90.00 90.00
Last column: nearest neighbours and their distance in Å.
Sites, in units of the cell vectors:
1 F 0.0000 0.0000 0.0000  4 Zn 2.28
2 F 0.5000 0.5000 0.0000  4 Zn 2.28
3 S 0.0000 0.5000 0.2904  1 Zn 2.16
4 S 0.5000 0.0000 0.7096  1 Zn 2.16
5 Tl 0.0000 0.0000 0.5000  4 S 3.00, 4 Tl 3.07
6 Tl 0.5000 0.5000 0.5000  4 S 3.00, 4 Tl 3.07
7 Zn 0.0000 0.5000 0.0713  1 S 2.16, 4 F 2.28
8 Zn 0.5000 0.0000 0.9287  1 S 2.16, 4 F 2.28

***

Compound: TmS2F2
Source: OQMD via LeMat-Bulk
Functional: GGA-PBE
Structure: optimized geometry

Summary:
The uncorrected energy comes out at -5.689 eV/atom. As for the total magnetization: 0.00 μB/atom.

abc: 5.5562 6.0504 6.8448
angles: 63.86 81.73 65.53
Last column: nearest neighbours and their distance in Å.
Sites, in units of the cell vectors:
1 F 0.7557 0.5872 0.4548  2 Tm 2.11-2.18
2 F 0.2451 0.9465 0.4751  2 Tm 2.11-2.18
3 F 0.7549 0.0535 0.5249  2 Tm 2.11-2.18
4 F 0.2443 0.4128 0.5452  2 Tm 2.11-2.18
5 S 0.0982 0.6890 0.0026  1 S 1.99
6 S 0.3425 0.8460 0.0190  1 S 1.99
7 S 0.6575 0.1540 0.9810  1 S 1.99
8 S 0.9018 0.3110 0.9974  1 S 1.99
9 Tm 0.9996 0.8189 0.3623  4 F 2.11-2.18
10 Tm 0.0004 0.1811 0.6377  4 F 2.11-2.18